No. 1
DFT (PBE) results for a relaxed structure of CuRuAuI2.

CIF file:
```
data_CuRuAuI2
_space_group_name_H-M_alt 'P 1'
_space_group_IT_number 1
_cell_length_a 5.593
_cell_length_b 5.163
_cell_length_c 5.593
_cell_angle_alpha 90.00
_cell_angle_beta 90.00
_cell_angle_gamma 90.00
loop_
_space_group_symop_operation_xyz
'x,y,z'
loop_
_atom_site_label
_atom_site_type_symbol
_atom_site_fract_x
_atom_site_fract_y
_atom_site_fract_z
I1 I 0.000 0.000 0.500
Ru1 Ru 0.000 0.500 0.000
Cu1 Cu 0.500 0.500 0.500
I2 I 0.500 0.000 0.000
Au1 Au 0.000 0.000 0.000
```

Calculated values
**Final energy**: -2.6148 eV/atom
**ΔE_f (raw)**: 6.68 eV/f.u.
**E above lowest polymorph**: 434 meV/atom
**Space-group type**: P4/mmm (123)

---

No. 2
DFT (PBE) results for a relaxed structure of Cs2Cd3Hg4.

CIF file:
```
data_Cs2Cd3Hg4
_space_group_name_H-M_alt 'P 1'
_space_group_IT_number 1
_cell_length_a 6.592
_cell_length_b 6.513
_cell_length_c 17.133
_cell_angle_alpha 84.41
_cell_angle_beta 78.91
_cell_angle_gamma 59.60
loop_
_space_group_symop_operation_xyz
'x,y,z'
loop_
_atom_site_label
_atom_site_type_symbol
_atom_site_fract_x
_atom_site_fract_y
_atom_site_fract_z
Cd1 Cd 0.748 0.000 0.504
Hg1 Hg 0.978 0.179 0.339
Cs1 Cs 0.426 0.000 0.148
Hg2 Hg 0.683 0.821 0.339
Hg3 Hg 0.496 0.821 0.661
Hg4 Hg 0.843 0.179 0.661
Hg5 Hg 0.772 0.321 0.161
Cd2 Cd 0.002 0.500 0.996
Cd3 Cd 0.252 0.000 0.496
Cd4 Cd 0.750 0.500 0.500
Hg6 Hg 0.067 0.679 0.161
Cs2 Cs 0.176 0.500 0.648
Hg7 Hg 0.254 0.679 0.839
Cd5 Cd 0.000 0.000 0.000
Cs3 Cs 0.324 0.500 0.352
Cs4 Cs 0.574 0.000 0.852
Hg8 Hg 0.907 0.321 0.839
Cd6 Cd 0.498 0.500 0.004
```

Calculated values
**Final energy**: -0.7641 eV/atom
**Energy of formation from the pure elements**: -135.3 meV/atom
**E above lowest polymorph**: 5 meV/atom
**Space-group type**: Fddd (70)

---

No. 3
DFT (PBE) results for a relaxed structure of Mg7Zn2In2.

CIF file:
```
data_Mg7Zn2In2
_space_group_name_H-M_alt 'P 1'
_space_group_IT_number 1
_cell_length_a 5.727
_cell_length_b 5.727
_cell_length_c 7.616
_cell_angle_alpha 99.96
_cell_angle_beta 99.96
_cell_angle_gamma 97.62
loop_
_space_group_symop_operation_xyz
'x,y,z'
loop_
_atom_site_label
_atom_site_type_symbol
_atom_site_fract_x
_atom_site_fract_y
_atom_site_fract_z
Mg1 Mg 0.890 0.520 0.177
Mg2 Mg 0.110 0.480 0.823
Mg3 Mg 0.480 0.110 0.823
Mg4 Mg 0.520 0.890 0.177
Mg5 Mg 0.000 0.000 0.000
Mg6 Mg 0.853 0.853 0.593
Mg7 Mg 0.147 0.147 0.407
In1 In 0.689 0.311 0.500
Zn1 Zn 0.376 0.376 0.157
In2 In 0.311 0.689 0.500
Zn2 Zn 0.624 0.624 0.843
```

Calculated values
**Final energy**: -1.7872 eV/atom
**Energy of formation from the pure elements**: -42.9 meV/atom
**Space-group type**: C2/m (12)